Entry 1:
Below is Tb3Al after structural relaxation, with properties calculated at the PBEsol level.

a b c (Å): 4.6936 4.6936 4.6936
angles (deg): 90.00 90.00 90.00
Closest atoms and distances in Å follow each position.
Atoms (fractional coordinates):
Tb (0.5000, 0.0000, 0.5000)  8 Tb 3.32, 4 Al 3.32
Tb (0.5000, 0.5000, 0.0000)  8 Tb 3.32, 4 Al 3.32
Tb (0.0000, 0.5000, 0.5000)  8 Tb 3.32, 4 Al 3.32
Al (0.0000, 0.0000, 0.0000)  12 Tb 3.32

## Properties
Magnetic moment in μB/f.u.: 0.00
SG: Pm-3m, No. 221
Energy of formation from the pure elements in eV/atom: -0.202



Entry 2:
Below is MnCo2Re after structural relaxation, with properties calculated at the PBEsol level.

a b c (Å): 3.5463 3.5463 4.3627
angles (deg): 113.98 113.98 90.00
Closest atoms and distances in Å follow each position.
Atoms (fractional coordinates):
Mn (0.5000, 0.5000, 0.0000)  4 Re 2.51, 8 Co 2.52
Co (0.2500, 0.7500, 0.5000)  4 Co 2.51, 4 Mn 2.52, 4 Re 2.52
Co (0.7500, 0.2500, 0.5000)  4 Co 2.51, 4 Mn 2.52, 4 Re 2.52
Re (0.0000, 0.0000, 0.0000)  4 Mn 2.51, 8 Co 2.52

## Properties
Magnetic moment in μB/f.u.: 1.52
SG: I4/mmm, No. 139
Excess energy over the best structure of this formula in the dataset in eV/atom: 0.000
Energy of formation from the pure elements in eV/atom: -0.008



Entry 3:
Below is MoS2 after structural relaxation, with properties calculated at the PBEsol level.

a b c (Å): 3.1376 3.1376 12.4475
angles (deg): 90.00 90.00 120.00
Closest atoms and distances in Å follow each position.
Atoms (fractional coordinates):
Mo (0.3333, 0.6667, 0.2500)  6 S 2.39
Mo (0.6667, 0.3333, 0.7500)  6 S 2.39
S (0.3333, 0.6667, 0.8752)  3 Mo 2.39
S (0.3333, 0.6667, 0.6248)  3 Mo 2.39
S (0.6667, 0.3333, 0.1248)  3 Mo 2.39
S (0.6667, 0.3333, 0.3752)  3 Mo 2.39

## Properties
E_form (uncorrected) in eV/atom: -0.97
Magnetic moment in μB/f.u.: 0.00
SG: P6_3/mmc, No. 194



Entry 4:
Below is La2ReMo after structural relaxation, with properties calculated at the PBEsol level.

a b c (Å): 3.0580 3.0580 9.5486
angles (deg): 90.00 90.00 114.30
Closest atoms and distances in Å follow each position.
Atoms (fractional coordinates):
Mo (0.5000, 0.5000, 0.5000)  4 La 2.94, 4 Mo 3.06
Re (0.5000, 0.5000, 0.0000)  4 La 2.87, 4 Re 3.06
La (0.0000, 0.0000, 0.7541)  2 Re 2.87, 2 Mo 2.94, 4 La 3.06
La (0.0000, 0.0000, 0.2459)  2 Re 2.87, 2 Mo 2.94, 4 La 3.06

## Properties
Magnetic moment in μB/f.u.: 0.00
SG: Cmmm, No. 65
Excess energy over the best structure of this formula in the dataset in eV/atom: 0.020
Energy of formation from the pure elements in eV/atom: 0.731



Entry 5:
Below is HfMoI3 after structural relaxation, with properties calculated at the PBEsol level.

a b c (Å): 5.3272 5.3272 5.3272
angles (deg): 90.00 90.00 90.00
Closest atoms and distances in Å follow each position.
Atoms (fractional coordinates):
Mo (0.0000, 0.0000, 0.0000)  6 I 2.66
I (0.0000, 0.5000, 0.0000)  2 Mo 2.66
I (0.5000, 0.0000, 0.0000)  2 Mo 2.66
I (0.0000, 0.0000, 0.5000)  2 Mo 2.66
Hf (0.5000, 0.5000, 0.5000)  12 I 3.77

## Properties
E_form (uncorrected) in eV/atom: 1.01
Magnetic moment in μB/f.u.: 2.77
SG: Pm-3m, No. 221



Entry 6:
Below is CaSbF5 after structural relaxation, with properties calculated at the PBEsol level.

a b c (Å): 5.5264 5.5264 8.3254
angles (deg): 74.70 74.70 77.09
Closest atoms and distances in Å follow each position.
Atoms (fractional coordinates):
F (0.2559, 0.8174, 0.0774)  1 Sb 2.06, 1 Ca 2.27
F (0.3070, 0.1626, 0.3716)  1 Sb 2.07, 1 Ca 2.22
F (0.8840, 0.1983, 0.1856)  1 Sb 2.02
F (0.1626, 0.3070, 0.8716)  1 Sb 2.07, 1 Ca 2.22
F (0.1983, 0.8840, 0.6856)  1 Sb 2.02
F (0.3430, 0.5984, 0.4721)  2 Ca 2.26-2.28, 1 Sb 2.28
F (0.8174, 0.2559, 0.5774)  1 Sb 2.06, 1 Ca 2.27
F (0.7581, 0.7586, 0.1921)  1 Sb 2.12, 1 Ca 2.22
F (0.7586, 0.7581, 0.6921)  1 Sb 2.12, 1 Ca 2.22
F (0.5984, 0.3430, 0.9721)  2 Ca 2.26-2.28, 1 Sb 2.28
Ca (0.5018, 0.4874, 0.2172)  6 F 2.22-2.35
Ca (0.4874, 0.5018, 0.7172)  6 F 2.22-2.35
Sb (0.0265, 0.9398, 0.4901)  4 F 2.02-2.12
Sb (0.9398, 0.0265, 0.9901)  4 F 2.02-2.12

## Properties
E_form (uncorrected) in eV/atom: -3.01
Magnetic moment in μB/f.u.: 0.00
SG: Cc, No. 9
Excess energy over the best structure of this formula in the dataset in eV/atom: 0.034



Entry 7:
Below is KAgCl2 after structural relaxation, with properties calculated at the PBEsol level.

a b c (Å): 3.8547 3.8546 7.3128
angles (deg): 74.75 105.28 90.00
Closest atoms and distances in Å follow each position.
Atoms (fractional coordinates):
Cl (0.1898, 0.6859, 0.3796)  2 Ag 2.55
Cl (0.9352, 0.9397, 0.8703)  2 Ag 2.55
Ag (0.8125, 0.5617, 0.6249)  4 Cl 2.55
K (0.5626, 0.3127, 0.1251)  8 Cl 3.23

## Properties
E_form (uncorrected) in eV/atom: -1.14
Magnetic moment in μB/f.u.: 0.00
SG: I-4m2, No. 119



Entry 8:
Below is Hg4PtBr after structural relaxation, with properties calculated at the PBEsol level.

a b c (Å): 5.7203 5.7203 5.7203
angles (deg): 60.00 60.00 60.00
Closest atoms and distances in Å follow each position.
Atoms (fractional coordinates):
Hg (0.3753, 0.3753, 0.3753)  6 Hg 2.85-2.87
Hg (0.3753, 0.3753, 0.8740)  6 Hg 2.85-2.87
Hg (0.3753, 0.8740, 0.3753)  6 Hg 2.85-2.87
Hg (0.8740, 0.3753, 0.3753)  6 Hg 2.85-2.87
Br (0.0000, 0.0000, 0.0000)  12 Hg 3.35, 4 Pt 3.50
Pt (0.7500, 0.7500, 0.7500)  12 Hg 3.35, 4 Br 3.50

## Properties
E_form (uncorrected) in eV/atom: 0.45
Magnetic moment in μB/f.u.: 0.00
SG: F-43m, No. 216